Material: NdTm3P4
Method: DFT, PBE-GGA
State: optimized geometry

CIF file:
```
data_NdTm3P4
_symmetry_space_group_name_H-M 'P 1'
_symmetry_Int_Tables_number 1
_cell_length_a 4.008
_cell_length_b 6.936
_cell_length_c 6.936
_cell_angle_alpha 70.53
_cell_angle_beta 90.00
_cell_angle_gamma 90.00
loop_
_symmetry_equiv_pos_as_xyz
'x,y,z'
loop_
_atom_site_label
_atom_site_type_symbol
_atom_site_fract_x
_atom_site_fract_y
_atom_site_fract_z
Tm1 Tm 0.500 0.000 0.500
Tm2 Tm 0.000 0.000 0.000
P1 P 0.000 0.241 0.259
Tm3 Tm 0.000 0.500 0.500
P2 P 0.000 0.759 0.741
P3 P 0.500 0.246 0.746
P4 P 0.500 0.755 0.254
Nd1 Nd 0.500 0.500 0.000
```

Calculated values
- SG: No. 65

---

Material: Nd2TmP3
Method: DFT, PBE-GGA
State: optimized geometry

CIF file:
```
data_Nd2TmP3
_symmetry_space_group_name_H-M 'P 1'
_symmetry_Int_Tables_number 1
_cell_length_a 4.104
_cell_length_b 4.104
_cell_length_c 9.159
_cell_angle_alpha 102.95
_cell_angle_beta 102.95
_cell_angle_gamma 89.99
loop_
_symmetry_equiv_pos_as_xyz
'x,y,z'
loop_
_atom_site_label
_atom_site_type_symbol
_atom_site_fract_x
_atom_site_fract_y
_atom_site_fract_z
Nd1 Nd 0.769 0.770 0.543
Nd2 Nd 0.100 0.101 0.205
P1 P 0.271 0.273 0.548
P2 P 0.597 0.598 0.200
P3 P 0.934 0.936 0.874
Tm1 Tm 0.434 0.436 0.874
```

Calculated values
- SG: No. 139

---

Material: Nd4TmP5
Method: DFT, PBE-GGA
State: optimized geometry

CIF file:
```
data_Nd4TmP5
_symmetry_space_group_name_H-M 'P 1'
_symmetry_Int_Tables_number 1
_cell_length_a 5.842
_cell_length_b 7.147
_cell_length_c 7.147
_cell_angle_alpha 80.39
_cell_angle_beta 65.88
_cell_angle_gamma 65.88
loop_
_symmetry_equiv_pos_as_xyz
'x,y,z'
loop_
_atom_site_label
_atom_site_type_symbol
_atom_site_fract_x
_atom_site_fract_y
_atom_site_fract_z
Nd1 Nd 0.599 0.602 0.201
P1 P 0.294 0.804 0.609
Nd2 Nd 0.801 0.799 0.602
Nd3 Nd 0.201 0.201 0.398
P2 P 0.099 0.609 0.196
P3 P 0.903 0.391 0.804
Nd4 Nd 0.403 0.398 0.799
Tm1 Tm 0.001 0.000 0.000
P4 P 0.708 0.196 0.391
P5 P 0.501 0.000 0.000
```

Calculated values
- SG: No. 87

---

Material: NdTm2P3
Method: DFT, PBE-GGA
State: optimized geometry

CIF file:
```
data_NdTm2P3
_symmetry_space_group_name_H-M 'P 1'
_symmetry_Int_Tables_number 1
_cell_length_a 4.025
_cell_length_b 5.701
_cell_length_c 6.967
_cell_angle_alpha 114.15
_cell_angle_beta 106.79
_cell_angle_gamma 90.00
loop_
_symmetry_equiv_pos_as_xyz
'x,y,z'
loop_
_atom_site_label
_atom_site_type_symbol
_atom_site_fract_x
_atom_site_fract_y
_atom_site_fract_z
Nd1 Nd 0.000 0.500 0.000
P1 P 0.000 0.000 0.000
P2 P 0.326 0.326 0.652
Tm1 Tm 0.666 0.166 0.331
Tm2 Tm 0.334 0.834 0.669
P3 P 0.674 0.674 0.348
```

Calculated values
- SG: No. 71

---

Material: NdTmP2
Method: DFT, PBE-GGA
State: optimized geometry

CIF file:
```
data_NdTmP2
_symmetry_space_group_name_H-M 'P 1'
_symmetry_Int_Tables_number 1
_cell_length_a 4.017
_cell_length_b 4.017
_cell_length_c 7.037
_cell_angle_alpha 90.00
_cell_angle_beta 90.00
_cell_angle_gamma 120.00
loop_
_symmetry_equiv_pos_as_xyz
'x,y,z'
loop_
_atom_site_label
_atom_site_type_symbol
_atom_site_fract_x
_atom_site_fract_y
_atom_site_fract_z
Tm1 Tm 0.000 0.500 0.000
P1 P 0.333 0.167 0.237
P2 P 0.667 0.833 0.763
Nd1 Nd 0.000 0.500 0.500
```

Calculated values
- Relative energy among the computed polymorphs: 199 meV per atom
- SG: No. 164

---

Material: NdTmP2
Method: DFT, PBE-GGA
State: optimized geometry

CIF file:
```
data_NdTmP2
_symmetry_space_group_name_H-M 'P 1'
_symmetry_Int_Tables_number 1
_cell_length_a 4.063
_cell_length_b 4.063
_cell_length_c 7.021
_cell_angle_alpha 73.18
_cell_angle_beta 73.18
_cell_angle_gamma 60.00
loop_
_symmetry_equiv_pos_as_xyz
'x,y,z'
loop_
_atom_site_label
_atom_site_type_symbol
_atom_site_fract_x
_atom_site_fract_y
_atom_site_fract_z
Nd1 Nd 0.500 0.500 0.500
Tm1 Tm 0.000 0.000 0.000
P1 P 0.254 0.254 0.237
P2 P 0.746 0.746 0.763
```

Calculated values
- Relative energy among the computed polymorphs: 0 meV per atom
- SG: No. 166

---

Material: Nd2TmP
Method: DFT, PBE-GGA
State: optimized geometry

CIF file:
```
data_Nd2TmP
_symmetry_space_group_name_H-M 'P 1'
_symmetry_Int_Tables_number 1
_cell_length_a 3.916
_cell_length_b 3.916
_cell_length_c 9.739
_cell_angle_alpha 78.40
_cell_angle_beta 78.40
_cell_angle_gamma 60.00
loop_
_symmetry_equiv_pos_as_xyz
'x,y,z'
loop_
_atom_site_label
_atom_site_type_symbol
_atom_site_fract_x
_atom_site_fract_y
_atom_site_fract_z
Nd1 Nd 0.273 0.273 0.181
P1 P 0.000 0.000 0.000
Tm1 Tm 0.500 0.500 0.500
Nd2 Nd 0.727 0.727 0.819
```

Calculated values
- SG: No. 166

---

Material: NdTm2P
Method: DFT, PBE-GGA
State: optimized geometry

CIF file:
```
data_NdTm2P
_symmetry_space_group_name_H-M 'P 1'
_symmetry_Int_Tables_number 1
_cell_length_a 3.689
_cell_length_b 3.689
_cell_length_c 10.466
_cell_angle_alpha 79.85
_cell_angle_beta 79.85
_cell_angle_gamma 60.00
loop_
_symmetry_equiv_pos_as_xyz
'x,y,z'
loop_
_atom_site_label
_atom_site_type_symbol
_atom_site_fract_x
_atom_site_fract_y
_atom_site_fract_z
Tm1 Tm 0.886 0.886 0.342
Nd1 Nd 0.000 0.000 0.000
Tm2 Tm 0.114 0.114 0.658
P1 P 0.500 0.500 0.500
```

Calculated values
- SG: No. 166

---

Number 1: formation energy -12.58 eV per formula unit, volume 22.72 Å³ per atom. Number 2: formation energy -9.20 eV per formula unit, volume 24.38 Å³ per atom. Number 3: formation energy -15.37 eV per formula unit, volume 24.85 Å³ per atom. Number 4: formation energy -9.37 eV per formula unit, volume 23.06 Å³ per atom. Number 5: formation energy -5.44 eV per formula unit, volume 24.58 Å³ per atom. Number 6: formation energy -6.24 eV per formula unit, volume 23.65 Å³ per atom. Number 7: formation energy -2.39 eV per formula unit, volume 31.46 Å³ per atom. Number 8: formation energy -2.12 eV per formula unit, volume 30.19 Å³ per atom.